Entry 1:
A plane-wave DFT calculation with PBE-GGA was carried out for crystalline SrP2OsRu at its relaxed geometry.

Cell: 4.070 4.070 11.333 Å, 90.00 90.00 90.00°
Space group I-4m2 (No. 119)
One atom of each set of equivalent atoms:
Sr (0.000, 0.000, 0.000) [2 per cell]
P (0.000, 0.000, 0.351) [4 per cell]
Os (0.000, 0.500, 0.250) [2 per cell]
Ru (0.000, 0.500, 0.750) [2 per cell]

Properties
DOS(E_F) ... 0.33 states/eV per atom
Uncorrected energy ... -73.95 eV per cell
Volume ... 18.8 Å³/atom
Total moment ... 0.00 Bohr magnetons per cell
ΔH_f (0 K) ... -0.79 eV/atom
ΔE to the lowest computed polymorph ... 0 meV/atom

=====

Entry 2:
A plane-wave DFT calculation with PBE-GGA was carried out for crystalline TcPOs2Ru at its relaxed geometry.

Cell: 4.341 4.341 4.300 Å, 90.00 90.00 90.00°
Space group P4/mmm (No. 123)
One atom of each set of equivalent atoms:
Tc (0.000, 0.000, 0.000) [1 per cell]
P (0.500, 0.500, 0.500) [1 per cell]
Os (0.000, 0.500, 0.500) [2 per cell]
Ru (0.500, 0.500, 0.000) [1 per cell]

Properties
DOS(E_F) ... 1.09 states/eV per atom
Uncorrected energy ... -42.67 eV per cell
Volume ... 16.2 Å³/atom
Total moment ... 2.94 Bohr magnetons per cell
ΔH_f (0 K) ... 0.97 eV/atom

=====

Entry 3:
A plane-wave DFT calculation with PBE-GGA was carried out for crystalline ThP2OsRu at its relaxed geometry.

Cell: 4.065 4.065 10.412 Å, 90.00 90.00 90.00°
Space group I-4m2 (No. 119)
One atom of each set of equivalent atoms:
Th (0.000, 0.000, 0.000) [2 per cell]
P (0.000, 0.000, 0.365) [4 per cell]
Os (0.000, 0.500, 0.250) [2 per cell]
Ru (0.000, 0.500, 0.750) [2 per cell]

Properties
DOS(E_F) ... 0.65 states/eV per atom
Uncorrected energy ... -86.14 eV per cell
Volume ... 17.2 Å³/atom
Total moment ... 0.00 Bohr magnetons per cell
ΔH_f (0 K) ... -0.86 eV/atom

=====

Entry 4:
A plane-wave DFT calculation with PBE-GGA was carried out for crystalline UP2OsRu at its relaxed geometry.

Cell: 4.025 4.025 9.657 Å, 90.00 90.00 90.00°
Space group I-4m2 (No. 119)
One atom of each set of equivalent atoms:
U (0.000, 0.000, 0.000) [2 per cell]
P (0.000, 0.000, 0.381) [4 per cell]
Os (0.000, 0.500, 0.250) [2 per cell]
Ru (0.000, 0.500, 0.750) [2 per cell]

Properties
DOS(E_F) ... 1.38 states/eV per atom
Uncorrected energy ... -91.50 eV per cell
Volume ... 15.6 Å³/atom
Total moment ... 3.33 Bohr magnetons per cell
ΔH_f (0 K) ... -0.63 eV/atom

=====

Entry 5:
A plane-wave DFT calculation with PBE-GGA was carried out for crystalline POsS3 at its relaxed geometry.

Cell: 4.306 4.306 4.306 Å, 90.00 90.00 90.00°
Space group Pm-3m (No. 221)
One atom of each set of equivalent atoms:
P (0.000, 0.000, 0.000) [1 per cell]
Os (0.500, 0.500, 0.500) [1 per cell]
S (0.000, 0.000, 0.500) [3 per cell]

Properties
DOS(E_F) ... 0.74 states/eV per atom
Uncorrected energy ... -22.50 eV per cell
Volume ... 16.0 Å³/atom
Total moment ... 0.00 Bohr magnetons per cell
ΔE to the lowest computed polymorph ... 409 meV/atom

=====

Entry 6:
A plane-wave DFT calculation with PBE-GGA was carried out for crystalline POs2S at its relaxed geometry.

Cell: 5.965 5.965 5.965 Å, 90.00 90.00 90.00°
Space group Fm-3m (No. 225)
One atom of each set of equivalent atoms:
P (0.000, 0.000, 0.000) [4 per cell]
Os (0.250, 0.250, 0.250) [8 per cell]
S (0.000, 0.000, 0.500) [4 per cell]

Properties
DOS(E_F) ... 0.61 states/eV per atom
Uncorrected energy ... -120.98 eV per cell
Volume ... 13.3 Å³/atom
Total moment ... 0.00 Bohr magnetons per cell
ΔE to the lowest computed polymorph ... 360 meV/atom

=====

Entry 7:
A plane-wave DFT calculation with PBE-GGA was carried out for crystalline POs3S at its relaxed geometry.

Cell: 4.382 4.382 4.382 Å, 90.00 90.00 90.00°
Space group Pm-3m (No. 221)
One atom of each set of equivalent atoms:
P (0.000, 0.000, 0.000) [1 per cell]
Os (0.000, 0.000, 0.500) [3 per cell]
S (0.500, 0.500, 0.500) [1 per cell]

Properties
DOS(E_F) ... 1.29 states/eV per atom
Uncorrected energy ... -35.91 eV per cell
Volume ... 16.8 Å³/atom
Total moment ... 0.00 Bohr magnetons per cell
ΔE to the lowest computed polymorph ... 0 meV/atom

=====

Entry 8:
A plane-wave DFT calculation with PBE-GGA was carried out for crystalline POsS2 at its relaxed geometry.

Cell: 5.989 5.989 8.262 Å, 90.00 90.00 90.00°
Space group I-42d (No. 122)
One atom of each set of equivalent atoms:
P (0.000, 0.000, 0.000) [4 per cell]
Os (0.000, 0.000, 0.500) [4 per cell]
S (0.221, 0.250, 0.625) [8 per cell]

Properties
DOS(E_F) ... 0.60 states/eV per atom
Uncorrected energy ... -91.43 eV per cell
Volume ... 18.5 Å³/atom
Total moment ... 0.00 Bohr magnetons per cell